Te2PtW, relaxed, DFT GGA-PBE; E_form (uncorrected) = 3.50 eV/f.u.; ρ = 12.9 g/cm3; energy above the most stable polymorph in this dataset = 823 meV/atom; crystal system = cubic
1.0
0.0000 3.4427 3.4427
3.4427 0.0000 3.4427
3.4427 3.4427 0.0000
Te Pt W
2 1 1
direct
0.0000 0.0000 0.0000
0.2500 0.2500 0.2500
0.7500 0.7500 0.7500
0.5000 0.5000 0.5000